The following is a GGA-PBE calculation of crystalline Li3PaPt3 at its relaxed geometry, from Alexandria via LeMat-Bulk.

Values from the calculation:
Mass density, kg/m3: 11047
Polymorph energy (0 for the lowest one), kJ/mol of formula units: 536
SG: Pm-3n
Magnetization, μB per formula unit: 1.5
Formation energy, eV per atom: 0.164

a b c (Å): 6.314 6.314 6.314
angles (deg): 90.00 90.00 90.00
Last column: magnetic moment on the atom in μB.
Fractional coordinates of all 14 atoms:
Pt  0.750  0.500  0.000  -0.01
Li  0.250  0.000  0.500  0.00
Pt  0.000  0.750  0.500  -0.01
Pt  0.250  0.500  0.000  -0.01
Pa  0.000  0.000  0.000  1.28
Li  0.750  0.000  0.500  0.00
Li  0.000  0.500  0.250  0.00
Pa  0.500  0.500  0.500  1.28
Pt  0.500  0.000  0.750  -0.01
Li  0.500  0.250  0.000  0.00
Li  0.500  0.750  0.000  0.00
Li  0.000  0.500  0.750  0.00
Pt  0.500  0.000  0.250  -0.01
Pt  0.000  0.250  0.500  -0.01